Entry 1:
The following is a DFT calculation (PBE) of a relaxed Pr2Sm2As5 crystal.

Unit cell a=8.6866 b=8.6866 c=7.8488 alpha=90.00 beta=90.00 gamma=52.99
Closest atoms and distances in Å follow each position.
Sites, in units of the cell vectors:
Pr1 0.1676 0.8324 0.8306  8 As 2.90-3.20
Pr2 0.3324 0.6676 0.3306  8 As 2.90-3.20
Pr3 0.6676 0.3324 0.6694  8 As 2.90-3.20
Pr4 0.8324 0.1676 0.1694  8 As 2.90-3.20
Sm1 0.1873 0.1873 0.5000  7 As 2.91-3.19
Sm2 0.3127 0.3127 0.0000  7 As 2.91-3.19
Sm3 0.6873 0.6873 0.0000  7 As 2.91-3.19
Sm4 0.8127 0.8127 0.5000  7 As 2.91-3.19
As1 0.0000 0.0000 0.5000  4 Pr 2.90, 2 Sm 2.91
As2 0.0191 0.2642 0.8773  1 As 2.71, 1 Sm 2.98
As3 0.2358 0.4809 0.6227  1 As 2.71, 1 Sm 2.98
As4 0.2642 0.0191 0.1227  1 As 2.71, 1 Sm 2.98
As5 0.4809 0.2358 0.3773  1 As 2.71, 1 Sm 2.98
As6 0.5000 0.5000 0.0000  4 Pr 2.90, 2 Sm 2.91
As7 0.5191 0.7642 0.6227  1 As 2.71, 1 Sm 2.98
As8 0.7358 0.9809 0.8773  1 As 2.71, 1 Sm 2.98
As9 0.7642 0.5191 0.3773  1 As 2.71, 1 Sm 2.98
As10 0.9809 0.7358 0.1227  1 As 2.71, 1 Sm 2.98

Results
* uncorrected energy: -5.849 eV/atom


Entry 2:
The following is a DFT calculation (PBE) of a relaxed Si4PbAu crystal.

Unit cell a=5.4094 b=5.4094 c=5.4094 alpha=60.00 beta=60.00 gamma=60.00
Closest atoms and distances in Å follow each position.
Sites, in units of the cell vectors:
Si1 0.3766 0.3766 0.3766  6 Si 2.67-2.74
Si2 0.3766 0.3766 0.8703  6 Si 2.67-2.74
Si3 0.3766 0.8703 0.3766  6 Si 2.67-2.74
Si4 0.8703 0.3766 0.3766  6 Si 2.67-2.74
Pb1 0.0000 0.0000 0.0000  12 Si 3.18, 4 Au 3.31
Au1 0.7500 0.7500 0.7500  12 Si 3.17, 4 Pb 3.31

Results
* raw formation energy: 3.22 eV/f.u.


Entry 3:
The following is a DFT calculation (PBE) of a relaxed Na3UBi3S8 crystal.

Unit cell a=8.2805 b=8.2805 c=8.2805 alpha=58.86 beta=58.86 gamma=58.86
Closest atoms and distances in Å follow each position.
Sites, in units of the cell vectors:
Na1 0.0000 0.5000 0.5000  6 S 2.95-2.97
Na2 0.5000 0.0000 0.5000  6 S 2.95-2.97
Na3 0.5000 0.5000 0.0000  6 S 2.95-2.97
U1 0.5000 0.5000 0.5000  6 S 2.71
Bi1 0.0000 0.0000 0.5000  6 S 2.85
Bi2 0.0000 0.5000 0.0000  6 S 2.85
Bi3 0.5000 0.0000 0.0000  6 S 2.85
S1 0.2457 0.2457 0.2457  3 Bi 2.85, 3 Na 2.95
S2 0.2571 0.7332 0.7332  1 U 2.71, 2 Bi 2.85, 2 Na 2.97
S3 0.2668 0.2668 0.7429  1 U 2.71, 2 Bi 2.85, 2 Na 2.97
S4 0.2668 0.7429 0.2668  1 U 2.71, 2 Bi 2.85, 2 Na 2.97
S5 0.7332 0.2571 0.7332  1 U 2.71, 2 Bi 2.85, 2 Na 2.97
S6 0.7332 0.7332 0.2571  1 U 2.71, 2 Bi 2.85, 2 Na 2.97
S7 0.7429 0.2668 0.2668  1 U 2.71, 2 Bi 2.85, 2 Na 2.97
S8 0.7543 0.7543 0.7543  3 Bi 2.85, 3 Na 2.95

Results
* raw formation energy: -13.01 eV/f.u.


Total magnetization (μB/f.u.)
0.00; 0.00; 2.00